Record 1
VASP calculation (PBE) on a geometry-optimized YHo2Ag structure.

```
data_YHo2Ag
_cell_length_a 3.5527
_cell_length_b 3.5527
_cell_length_c 8.8727
_cell_angle_alpha 90.00
_cell_angle_beta 90.00
_cell_angle_gamma 90.00
_symmetry_space_group_name_H-M 'P 4/m m m'
_symmetry_Int_Tables_number 123
_symmetry_space_group_name_Hall '-P 4 2'
loop_
_atom_site_label
_atom_site_fract_x
_atom_site_fract_y
_atom_site_fract_z
Y1 0.0000 0.0000 0.0000
Ho1 0.5000 0.5000 0.2870
Ag1 0.0000 0.0000 0.5000
```

* D(E_F): 4.62 states/eV per cell
* DFT total energy: -4.752 eV per atom
* E_form: -135 meV per atom
* energy above the most stable polymorph in this dataset: 0.000 eV per formula unit


Record 2
VASP calculation (PBE) on a geometry-optimized BaIn3I9 structure.

```
data_BaIn3I9
_cell_length_a 22.6022
_cell_length_b 9.9895
_cell_length_c 14.7399
_cell_angle_alpha 90.00
_cell_angle_beta 122.00
_cell_angle_gamma 90.00
_symmetry_space_group_name_H-M 'C 1 c 1'
_symmetry_Int_Tables_number 9
loop_
_symmetry_equiv_pos_as_xyz
'x,y,z'
'x,-y,z+1/2'
'x+1/2,y+1/2,z'
'x+1/2,-y+1/2,z+1/2'
loop_
_atom_site_label
_atom_site_fract_x
_atom_site_fract_y
_atom_site_fract_z
Ba1 0.0000 0.2471 0.0000
In1 0.1354 0.4467 0.8448
In2 0.2685 0.0024 0.2781
In3 0.4232 0.3334 0.7840
I1 0.0195 0.2282 0.7907
I2 0.0409 0.2088 0.2714
I3 0.0970 0.4798 0.6070
I4 0.1636 0.0670 0.0746
I5 0.2574 0.2078 0.8857
I6 0.3145 0.4743 0.6286
I7 0.3181 0.2295 0.4067
I8 0.3855 0.0501 0.7535
I9 0.4611 0.3948 0.9894
```

* DFT total energy: -2.595 eV per atom
* ΔE_f (raw): -742.3 meV per atom


Record 3
VASP calculation (PBE) on a geometry-optimized Nd5Te5Se2 structure.

```
data_Nd5Te5Se2
_cell_length_a 14.5893
_cell_length_b 4.3388
_cell_length_c 13.0827
_cell_angle_alpha 90.00
_cell_angle_beta 105.93
_cell_angle_gamma 90.00
_symmetry_space_group_name_H-M 'C 1 2/m 1'
_symmetry_Int_Tables_number 12
loop_
_symmetry_equiv_pos_as_xyz
'x,y,z'
'-x,-y,-z'
'-x,y,-z'
'x,-y,z'
'x+1/2,y+1/2,z'
'-x+1/2,-y+1/2,-z'
'-x+1/2,y+1/2,-z'
'x+1/2,-y+1/2,z'
loop_
_atom_site_label
_atom_site_fract_x
_atom_site_fract_y
_atom_site_fract_z
Nd1 0.0000 0.0000 0.0000
Nd2 0.1091 0.0000 0.4091
Nd3 0.1849 0.5000 0.8043
Te1 0.0000 0.5000 0.5000
Te2 0.1645 0.5000 0.0518
Te3 0.2465 0.5000 0.3512
Se1 0.0399 0.0000 0.7907
```

* D(E_F): 3.86 states/eV per cell
* DFT total energy: -5.444 eV per atom
* ΔE_f (raw): -1567.8 meV per atom


Record 4
VASP calculation (PBE) on a geometry-optimized Nd3DyCo2 structure.

```
data_Nd3DyCo2
_cell_length_a 16.9595
_cell_length_b 3.8009
_cell_length_c 11.9416
_cell_angle_alpha 90.00
_cell_angle_beta 124.73
_cell_angle_gamma 90.00
_symmetry_space_group_name_H-M 'C 1 2/m 1'
_symmetry_Int_Tables_number 12
loop_
_symmetry_equiv_pos_as_xyz
'x,y,z'
'-x,-y,-z'
'-x,y,-z'
'x,-y,z'
'x+1/2,y+1/2,z'
'-x+1/2,-y+1/2,-z'
'-x+1/2,y+1/2,-z'
'x+1/2,-y+1/2,z'
loop_
_atom_site_label
_atom_site_fract_x
_atom_site_fract_y
_atom_site_fract_z
Nd1 0.0830 0.0000 0.4476
Nd2 0.0837 0.0000 0.9383
Nd3 0.1596 0.5000 0.2498
Dy1 0.1630 0.5000 0.7550
Co1 0.2326 0.5000 0.0450
Co2 0.2349 0.5000 0.5486
```

* D(E_F): 31.60 states/eV per cell
* DFT total energy: -5.599 eV per atom
* E_form: -79 meV per atom